A relaxed CsCo2Si2 crystal. Source: the Alexandria database, functional PBE.

abc: 7.7505 7.7505 7.7505
angles: 151.61 151.61 40.59
Last column: nearest neighbours and their distance in Å.
Positions (direct):
Cs  0.0000  0.0000  0.0000  8 Co 3.61, 4 Cs 3.80
Co  0.3346  0.3346  0.0000  4 Si 2.26
Co  0.6654  0.6654  0.0000  4 Si 2.26
Si  0.2500  0.7500  0.5000  4 Co 2.26
Si  0.7500  0.2500  0.5000  4 Co 2.26

The space group is I4/mmm, No. 139. The value obtained for the calculated total energy is -5.028 eV per atom. As for the total magnetization: 0.000 μB per atom. The energy relative to the elements, uncorrected is 75 kJ/mol of formula units.

A relaxed CsCoSi2 crystal. Source: the Alexandria database, functional PBE.

abc: 6.8508 6.8508 6.8508
angles: 120.08 120.08 89.86
Last column: nearest neighbours and their distance in Å.
Positions (direct):
Cs  0.3750  0.6250  0.7500  12 Si 4.01-4.02, 4 Cs 4.19, 4 Co 4.19
Cs  0.6250  0.3750  0.2500  12 Si 4.01-4.02, 4 Co 4.19, 4 Cs 4.19
Co  0.1250  0.8750  0.2500  4 Si 2.10
Co  0.8750  0.1250  0.7500  4 Si 2.10
Si  0.0000  0.0000  0.0000  2 Co 2.10
Si  0.0000  0.0000  0.5000  2 Co 2.10
Si  0.0000  0.5000  0.0000  2 Co 2.10
Si  0.5000  0.0000  0.5000  2 Co 2.10

The space group is I4_1/amd, No. 141. The value obtained for the calculated total energy is -4.763 eV per atom. As for the total magnetization: 0.000 μB per atom. The energy relative to the elements, uncorrected is -24 kJ/mol of formula units.